1.
Below is crystalline VBi3As at its relaxed geometry, with properties calculated at the PBE level.

abc: 5.252 5.252 5.252
angles: 90.00 90.00 90.00
Fractional coordinates of all 5 atoms:
1 V 0.000 0.000 0.000
2 Bi 0.000 0.000 0.500
3 Bi 0.000 0.500 0.000
4 Bi 0.500 0.000 0.000
5 As 0.500 0.500 0.500

Summary:
- Energy of formation: 0.536 eV/atom

---

2.
Below is crystalline Si7Ni4Au2 at its relaxed geometry, with properties calculated at the PBE level.

abc: 6.733 6.733 8.017
angles: 109.12 109.12 32.64
Fractional coordinates of all 13 atoms:
1 Si 0.000 0.000 0.000
2 Si 0.005 0.005 0.335
3 Si 0.334 0.334 0.577
4 Si 0.347 0.347 0.243
5 Si 0.653 0.653 0.757
6 Si 0.666 0.666 0.423
7 Si 0.995 0.995 0.665
8 Ni 0.155 0.155 0.587
9 Ni 0.494 0.494 0.831
10 Ni 0.506 0.506 0.169
11 Ni 0.845 0.845 0.413
12 Au 0.306 0.306 0.907
13 Au 0.694 0.694 0.093

Summary:
- Formation energy without anion corrections: -0.336 eV/atom

---

3.
Below is crystalline Li2AlCu2Pd5 at its relaxed geometry, with properties calculated at the PBE level.

abc: 10.190 10.190 2.917
angles: 90.00 90.00 90.00
Fractional coordinates of all 20 atoms:
1 Li 0.167 0.333 0.000
2 Li 0.333 0.833 0.000
3 Li 0.667 0.167 0.000
4 Li 0.833 0.667 0.000
5 Al 0.000 0.000 0.000
6 Al 0.500 0.500 0.000
7 Cu 0.150 0.650 0.000
8 Cu 0.350 0.150 0.000
9 Cu 0.650 0.850 0.000
10 Cu 0.850 0.350 0.000
11 Pd 0.000 0.500 0.500
12 Pd 0.009 0.797 0.500
13 Pd 0.203 0.009 0.500
14 Pd 0.297 0.509 0.500
15 Pd 0.491 0.297 0.500
16 Pd 0.500 0.000 0.500
17 Pd 0.509 0.703 0.500
18 Pd 0.703 0.491 0.500
19 Pd 0.797 0.991 0.500
20 Pd 0.991 0.203 0.500

Summary:
- Energy of formation: -0.333 eV/atom

---

4.
Below is crystalline KInC at its relaxed geometry, with properties calculated at the PBE level.

abc: 7.750 4.254 6.945
angles: 90.00 90.00 90.00
Fractional coordinates of all 12 atoms:
1 K 0.036 0.250 0.146
2 K 0.464 0.750 0.646
3 K 0.536 0.250 0.354
4 K 0.964 0.750 0.854
5 In 0.148 0.250 0.584
6 In 0.352 0.750 0.084
7 In 0.648 0.250 0.916
8 In 0.852 0.750 0.416
9 C 0.163 0.750 0.394
10 C 0.337 0.250 0.894
11 C 0.663 0.750 0.106
12 C 0.837 0.250 0.606

Summary:
- Energy of formation: 0.956 eV/atom